Arrangement A

VASP calculation (PBE) on crystalline Ti4Pd at its relaxed geometry.

Geometry as CIF:
```
data_Ti4Pd
_symmetry_space_group_name_H-M 'P 1'
_symmetry_Int_Tables_number 1
_cell_length_a 8.883
_cell_length_b 8.883
_cell_length_c 8.883
_cell_angle_alpha 159.90
_cell_angle_beta 159.90
_cell_angle_gamma 28.57
loop_
_symmetry_equiv_pos_as_xyz
'x,y,z'
loop_
_atom_site_label
_atom_site_fract_x
_atom_site_fract_y
_atom_site_fract_z
Ti1 0.196 0.196 0.000
Pd1 0.000 0.000 0.000
Ti2 0.596 0.596 0.000
Ti3 0.804 0.804 0.000
Ti4 0.404 0.404 0.000
```

Size of the total moment, μB per cell: 0.000
DOS(E_F), states/eV per atom: 1.41
Density, g/cm³: 6.0

Arrangement B

VASP calculation (PBE) on crystalline Ti4Pd at its relaxed geometry.

Geometry as CIF:
```
data_Ti4Pd
_symmetry_space_group_name_H-M 'P 1'
_symmetry_Int_Tables_number 1
_cell_length_a 4.758
_cell_length_b 4.758
_cell_length_c 4.758
_cell_angle_alpha 90.00
_cell_angle_beta 90.00
_cell_angle_gamma 90.00
loop_
_symmetry_equiv_pos_as_xyz
'x,y,z'
loop_
_atom_site_label
_atom_site_fract_x
_atom_site_fract_y
_atom_site_fract_z
Ti1 0.500 0.500 0.000
Ti2 0.000 0.500 0.500
Ti3 0.000 0.000 0.000
Pd1 0.500 0.500 0.500
Ti4 0.500 0.000 0.500
```

Size of the total moment, μB per cell: 3.359
DOS(E_F), states/eV per atom: 2.01
Density, g/cm³: 4.6

Arrangement C

VASP calculation (PBE) on crystalline Ti4Pd at its relaxed geometry.

Geometry as CIF:
```
data_Ti4Pd
_symmetry_space_group_name_H-M 'P 1'
_symmetry_Int_Tables_number 1
_cell_length_a 4.537
_cell_length_b 5.381
_cell_length_c 7.578
_cell_angle_alpha 110.80
_cell_angle_beta 107.42
_cell_angle_gamma 90.00
loop_
_symmetry_equiv_pos_as_xyz
'x,y,z'
loop_
_atom_site_label
_atom_site_fract_x
_atom_site_fract_y
_atom_site_fract_z
Ti1 0.303 0.307 0.606
Pd1 0.111 0.861 0.222
Ti2 0.500 0.000 0.000
Ti3 0.094 0.344 0.188
Ti4 0.906 0.656 0.812
Ti5 0.697 0.693 0.394
Ti6 0.303 0.800 0.606
Pd2 0.889 0.139 0.778
Ti7 0.697 0.200 0.394
Ti8 0.500 0.500 0.000
```

Size of the total moment, μB per cell: 0.001
DOS(E_F), states/eV per atom: 1.77
Density, g/cm³: 6.0

Which is most stable, and by how much? arrangement A, by 0.123 eV/atom.

Arrangement A

VASP calculation (PBE) on crystalline TiTlPd2W at its relaxed geometry.

Geometry as CIF:
```
data_TiTlPd2W
_symmetry_space_group_name_H-M 'P 1'
_symmetry_Int_Tables_number 1
_cell_length_a 4.852
_cell_length_b 5.114
_cell_length_c 4.852
_cell_angle_alpha 90.00
_cell_angle_beta 90.00
_cell_angle_gamma 90.00
loop_
_symmetry_equiv_pos_as_xyz
'x,y,z'
loop_
_atom_site_label
_atom_site_fract_x
_atom_site_fract_y
_atom_site_fract_z
Ti1 0.500 0.500 0.500
Tl1 0.000 0.000 0.000
Pd1 0.000 0.000 0.500
W1 0.000 0.500 0.000
Pd2 0.500 0.000 0.000
```

Size of the total moment, μB per cell: 0.000
DOS(E_F), states/eV per atom: 1.46
Density, g/cm³: 8.9

Arrangement B

VASP calculation (PBE) on crystalline TiTlPd2W at its relaxed geometry.

Geometry as CIF:
```
data_TiTlPd2W
_symmetry_space_group_name_H-M 'P 1'
_symmetry_Int_Tables_number 1
_cell_length_a 4.948
_cell_length_b 4.647
_cell_length_c 4.948
_cell_angle_alpha 90.00
_cell_angle_beta 90.00
_cell_angle_gamma 90.00
loop_
_symmetry_equiv_pos_as_xyz
'x,y,z'
loop_
_atom_site_label
_atom_site_fract_x
_atom_site_fract_y
_atom_site_fract_z
Tl1 0.500 0.500 0.500
Pd1 0.000 0.000 0.500
Pd2 0.500 0.000 0.000
Ti1 0.000 0.500 0.000
W1 0.000 0.000 0.000
```

Size of the total moment, μB per cell: 0.000
DOS(E_F), states/eV per atom: 0.71
Density, g/cm³: 9.5

Which is most stable, and by how much? arrangement B, by 0.875 eV/atom.

Arrangement A

VASP calculation (PBE) on crystalline TmTiPd4 at its relaxed geometry.

Geometry as CIF:
```
data_TmTiPd4
_symmetry_space_group_name_H-M 'P 1'
_symmetry_Int_Tables_number 1
_cell_length_a 4.187
_cell_length_b 7.773
_cell_length_c 12.497
_cell_angle_alpha 90.00
_cell_angle_beta 90.00
_cell_angle_gamma 90.00
loop_
_symmetry_equiv_pos_as_xyz
'x,y,z'
loop_
_atom_site_label
_atom_site_fract_x
_atom_site_fract_y
_atom_site_fract_z
Tm1 0.750 0.750 0.067
Ti1 0.750 0.750 0.771
Pd1 0.250 0.489 0.404
Pd2 0.250 0.750 0.908
Tm2 0.250 0.750 0.567
Ti2 0.750 0.250 0.729
Ti3 0.250 0.750 0.271
Pd3 0.250 0.250 0.592
Pd4 0.250 0.011 0.404
Pd5 0.750 0.250 0.092
Pd6 0.750 0.500 0.250
Pd7 0.250 0.500 0.750
Tm3 0.250 0.250 0.933
Pd8 0.750 0.511 0.596
Tm4 0.750 0.250 0.433
Pd9 0.750 0.011 0.904
Pd10 0.750 0.000 0.250
Pd11 0.250 0.511 0.096
Pd12 0.750 0.750 0.408
Pd13 0.750 0.989 0.596
Pd14 0.750 0.489 0.904
Pd15 0.250 0.000 0.750
Ti4 0.250 0.250 0.229
Pd16 0.250 0.989 0.096
```

Size of the total moment, μB per cell: 0.000
DOS(E_F), states/eV per atom: 0.43
Density, g/cm³: 10.5

Arrangement B

VASP calculation (PBE) on crystalline TmTiPd4 at its relaxed geometry.

Geometry as CIF:
```
data_TmTiPd4
_symmetry_space_group_name_H-M 'P 1'
_symmetry_Int_Tables_number 1
_cell_length_a 4.849
_cell_length_b 8.837
_cell_length_c 4.815
_cell_angle_alpha 90.00
_cell_angle_beta 83.72
_cell_angle_gamma 90.00
loop_
_symmetry_equiv_pos_as_xyz
'x,y,z'
loop_
_atom_site_label
_atom_site_fract_x
_atom_site_fract_y
_atom_site_fract_z
Ti1 0.000 0.500 0.500
Pd1 0.999 0.166 0.500
Ti2 0.500 0.000 0.500
Pd2 0.001 0.834 0.500
Pd3 0.500 0.159 0.000
Pd4 0.500 0.841 0.000
Tm1 0.500 0.500 0.000
Tm2 0.000 0.000 0.000
Pd5 0.501 0.666 0.500
Pd6 0.000 0.341 0.000
Pd7 0.499 0.334 0.500
Pd8 0.000 0.659 0.000
```

Size of the total moment, μB per cell: 0.000
DOS(E_F), states/eV per atom: 0.69
Density, g/cm³: 10.4

Which is most stable, and by how much? arrangement A, by 0.052 eV/atom.